CaTiN2: single point on PBEsol structure, SCAN.

Cell lengths 5.3662, 5.4480, 5.3662 Å; angles 60.50, 90.00, 119.50 degrees
Positions (direct):
N1 0.0547 0.7500 0.8750
N2 0.8750 0.2500 0.6953
N3 0.3750 0.2500 0.0547
N4 0.6953 0.7500 0.3750
Ti1 0.0000 0.0000 0.0000
Ti2 0.7500 0.5000 0.7500
Ca1 0.5000 0.0000 0.5000
Ca2 0.2500 0.5000 0.2500

Calculated values
- DFT total energy: -12.651 eV per atom
- E_form (uncorrected): -1.582 eV/atom
- Density of states at the Fermi level: 0.00 states/eV per cell